[1]
! TmSc3Ru PBE optimized geometry; values from VASP
&SYSTEM
  ibrav = 0, nat = 5, ntyp = 3
/
ATOMIC_SPECIES
Sc 44.96 Sc.upf
Ru 101.07 Ru.upf
Tm 168.93 Tm.upf
ATOMIC_POSITIONS crystal
Sc 0.000 0.500 0.000
Sc 0.000 0.000 0.500
Sc 0.500 0.000 0.000
Ru 0.000 0.000 0.000
Tm 0.500 0.500 0.500
CELL_PARAMETERS angstrom
5.036 0.000 0.000
0.000 5.036 0.000
0.000 0.000 5.036
! E_form: -0.109 eV per atom
! Calculated total energy: -6.657 eV/atom
! Magnetization: 0.0000 μB/atom
! Energy above the lowest structure with this stoichiometry: 46.0 kJ/mol of formula units
! Space group: No. 221

[2]
! Rb2TcAu2 PBE optimized geometry; values from VASP
&SYSTEM
  ibrav = 0, nat = 5, ntyp = 3
/
ATOMIC_SPECIES
Au 196.97 Au.upf
Tc 98.00 Tc.upf
Rb 85.47 Rb.upf
ATOMIC_POSITIONS crystal
Au 0.410 0.410 0.181
Au 0.590 0.590 0.819
Tc 0.000 0.000 0.000
Rb 0.750 0.250 0.500
Rb 0.250 0.750 0.500
CELL_PARAMETERS angstrom
-1.731 -3.528 2.676
4.352 -1.886 0.327
2.583 1.282 7.584
! E_form: 1.024 eV per atom
! Calculated total energy: -2.748 eV/atom
! Magnetization: 0.9497 μB/atom
! Energy above the lowest structure with this stoichiometry: 252.1 kJ/mol of formula units
! Space group: No. 139

[3]
! Rb2LiWCl6 PBE optimized geometry; values from VASP
&SYSTEM
  ibrav = 0, nat = 20, ntyp = 4
/
ATOMIC_SPECIES
Rb 85.47 Rb.upf
Li 6.94 Li.upf
W 183.84 W.upf
Cl 35.45 Cl.upf
ATOMIC_POSITIONS crystal
Rb 0.875 0.875 0.376
Rb 0.125 0.125 0.624
Rb 0.707 0.707 0.880
Rb 0.293 0.293 0.120
Li 0.586 0.586 0.242
Li 0.414 0.414 0.758
W 0.000 0.000 0.000
W 0.500 0.500 0.500
Cl 0.857 0.382 0.378
Cl 0.382 0.857 0.378
Cl 0.382 0.382 0.378
Cl 0.143 0.618 0.622
Cl 0.618 0.143 0.622
Cl 0.618 0.618 0.622
Cl 0.718 0.200 0.881
Cl 0.200 0.718 0.881
Cl 0.200 0.200 0.881
Cl 0.282 0.800 0.119
Cl 0.800 0.282 0.119
Cl 0.800 0.800 0.119
CELL_PARAMETERS angstrom
7.207 0.000 0.000
3.604 6.242 0.000
3.604 2.081 11.995
! Calculated total energy: -4.205 eV/atom
! Magnetization: 0.3000 μB/atom
! Energy above the lowest structure with this stoichiometry: 0.0 kJ/mol of formula units
! Uncorrected formation energy: -1.42 eV per atom
! Space group: No. 166

[4]
! TmSbIr PBE optimized geometry; values from VASP
&SYSTEM
  ibrav = 0, nat = 3, ntyp = 3
/
ATOMIC_SPECIES
Sb 121.76 Sb.upf
Ir 192.22 Ir.upf
Tm 168.93 Tm.upf
ATOMIC_POSITIONS crystal
Sb 0.167 0.000 0.000
Ir 0.167 0.667 0.333
Tm 0.667 0.333 0.667
CELL_PARAMETERS angstrom
3.388 0.000 0.000
0.000 4.607 0.000
0.000 -2.303 3.990
! Calculated total energy: -6.569 eV/atom
! Magnetization: 0.0000 μB/atom
! Uncorrected formation energy: -0.75 eV per atom
! Space group: No. 187

[5]
! CuTe3 PBE optimized geometry; values from VASP
&SYSTEM
  ibrav = 0, nat = 8, ntyp = 2
/
ATOMIC_SPECIES
Cu 63.55 Cu.upf
Te 127.60 Te.upf
ATOMIC_POSITIONS crystal
Cu 0.000 0.730 0.000
Cu 0.500 0.270 0.500
Te 0.500 0.468 0.000
Te 0.000 0.532 0.500
Te 0.000 0.185 0.278
Te 0.000 0.185 0.722
Te 0.500 0.815 0.778
Te 0.500 0.815 0.222
CELL_PARAMETERS angstrom
3.858 0.000 0.000
0.000 6.955 0.000
0.000 0.000 8.413
! Calculated total energy: -3.218 eV/atom
! Magnetization: 0.0000 μB/atom
! Uncorrected formation energy: 0.16 eV per atom
! Space group: No. 59

[6]
! ReSbRu PBE optimized geometry; values from VASP
&SYSTEM
  ibrav = 0, nat = 3, ntyp = 3
/
ATOMIC_SPECIES
Re 186.21 Re.upf
Ru 101.07 Ru.upf
Sb 121.76 Sb.upf
ATOMIC_POSITIONS crystal
Re 0.014 0.014 0.986
Ru 0.651 0.651 0.349
Sb 0.334 0.334 0.666
CELL_PARAMETERS angstrom
6.071 -0.011 0.012
5.339 2.889 0.017
0.732 0.179 2.895
! Calculated total energy: -8.283 eV/atom
! Magnetization: 0.0000 μB/atom
! Energy above the lowest structure with this stoichiometry: 0.0 kJ/mol of formula units
! Uncorrected formation energy: 0.33 eV per atom
! Space group: No. 107

[7]
! PuMnMo PBE optimized geometry; values from VASP
&SYSTEM
  ibrav = 0, nat = 6, ntyp = 3
/
ATOMIC_SPECIES
Mn 54.94 Mn.upf
Mo 95.94 Mo.upf
Pu 244.00 Pu.upf
ATOMIC_POSITIONS crystal
Mn 0.324 0.272 0.744
Mn 0.676 0.728 0.256
Mo 0.127 0.662 0.771
Mo 0.873 0.338 0.229
Pu 0.713 0.924 0.723
Pu 0.287 0.076 0.277
CELL_PARAMETERS angstrom
-0.890 0.180 5.006
-1.359 -3.711 -3.378
5.303 -0.822 -1.406
! E_form: 0.259 eV per atom
! Calculated total energy: -11.185 eV/atom
! Magnetization: 0.8062 μB/atom
! Space group: No. 2

[8]
! SrCuAg2 PBE optimized geometry; values from VASP
&SYSTEM
  ibrav = 0, nat = 4, ntyp = 3
/
ATOMIC_SPECIES
Ag 107.87 Ag.upf
Cu 63.55 Cu.upf
Sr 87.62 Sr.upf
ATOMIC_POSITIONS crystal
Ag 0.000 0.000 0.055
Ag 0.000 0.000 0.445
Cu 0.500 0.500 0.250
Sr 0.500 0.500 0.750
CELL_PARAMETERS angstrom
-1.146 0.243 -3.376
-2.914 -1.884 0.854
-3.317 5.831 1.545
! E_form: 0.039 eV per atom
! Calculated total energy: -2.831 eV/atom
! Magnetization: 0.0000 μB/atom
! Energy above the lowest structure with this stoichiometry: 58.1 kJ/mol of formula units
! Space group: No. 123

[9]
! Mg2CuP PBE optimized geometry; values from VASP
&SYSTEM
  ibrav = 0, nat = 4, ntyp = 3
/
ATOMIC_SPECIES
Cu 63.55 Cu.upf
Mg 24.30 Mg.upf
P 30.97 P.upf
ATOMIC_POSITIONS crystal
Cu 0.500 0.500 0.750
Mg 0.000 0.000 0.002
Mg 0.000 0.000 0.498
P 0.500 0.500 0.250
CELL_PARAMETERS angstrom
3.330 -0.013 0.000
0.007 3.330 0.000
0.000 0.000 5.924
! E_form: -0.132 eV per atom
! Calculated total energy: -3.306 eV/atom
! Magnetization: 0.0000 μB/atom
! Space group: No. 65

[10]
! Na2La2Tl3 PBE optimized geometry; values from VASP
&SYSTEM
  ibrav = 0, nat = 7, ntyp = 3
/
ATOMIC_SPECIES
Na 22.99 Na.upf
La 138.91 La.upf
Tl 204.38 Tl.upf
ATOMIC_POSITIONS crystal
Na 0.702 0.500 0.595
Na 0.298 0.500 0.405
La 0.570 0.500 0.860
La 0.430 0.500 0.140
Tl 0.860 0.000 0.281
Tl 0.000 0.000 0.000
Tl 0.140 0.000 0.719
CELL_PARAMETERS angstrom
-3.287 -1.647 0.455
0.814 -2.355 -2.645
4.964 -10.956 11.280
! E_form: -0.250 eV per atom
! Calculated total energy: -3.048 eV/atom
! Magnetization: 0.0000 μB/atom
! Space group: No. 65

[11]
! LiPtW2 PBE optimized geometry; values from VASP
&SYSTEM
  ibrav = 0, nat = 4, ntyp = 3
/
ATOMIC_SPECIES
Li 6.94 Li.upf
Pt 195.08 Pt.upf
W 183.84 W.upf
ATOMIC_POSITIONS crystal
Li 0.250 0.250 0.250
Pt 0.750 0.750 0.750
W 0.004 0.004 0.004
W 0.496 0.496 0.496
CELL_PARAMETERS angstrom
-1.585 -8.860 -3.916
1.178 -8.843 -4.095
-0.053 -9.658 -1.752
! E_form: 0.270 eV per atom
! Calculated total energy: -8.195 eV/atom
! Magnetization: 0.0000 μB/atom
! Energy above the lowest structure with this stoichiometry: 94.0 kJ/mol of formula units
! Space group: No. 166

[12]
! Pm2TmNb PBE optimized geometry; values from VASP
&SYSTEM
  ibrav = 0, nat = 4, ntyp = 3
/
ATOMIC_SPECIES
Nb 92.91 Nb.upf
Tm 168.93 Tm.upf
Pm 145.00 Pm.upf
ATOMIC_POSITIONS crystal
Nb 0.000 0.000 0.000
Tm 0.500 0.500 0.500
Pm 0.083 0.083 0.750
Pm 0.917 0.917 0.250
CELL_PARAMETERS angstrom
-2.198 0.040 -2.511
-3.055 -1.269 0.437
-5.579 10.021 2.824
! E_form: 0.552 eV per atom
! Calculated total energy: -5.459 eV/atom
! Magnetization: 0.0001 μB/atom
! Space group: No. 166

[13]
! Mg2Zn PBE optimized geometry; values from VASP
&SYSTEM
  ibrav = 0, nat = 9, ntyp = 2
/
ATOMIC_SPECIES
Mg 24.30 Mg.upf
Zn 65.41 Zn.upf
ATOMIC_POSITIONS crystal
Mg 0.000 0.285 0.000
Mg 0.000 0.622 0.500
Mg 0.285 0.000 0.000
Mg 0.715 0.715 0.000
Mg 0.622 0.000 0.500
Mg 0.378 0.378 0.500
Zn 0.000 0.000 0.500
Zn 0.333 0.667 0.000
Zn 0.667 0.333 0.000
CELL_PARAMETERS angstrom
7.961 0.000 0.000
-3.980 6.894 0.000
0.000 0.000 3.212
! E_form: -0.074 eV per atom
! Calculated total energy: -1.562 eV/atom
! Magnetization: 0.0000 μB/atom
! Space group: No. 189

[14]
! BeCr2 PBE optimized geometry; values from VASP
&SYSTEM
  ibrav = 0, nat = 3, ntyp = 2
/
ATOMIC_SPECIES
Cr 52.00 Cr.upf
Be 9.01 Be.upf
ATOMIC_POSITIONS crystal
Cr 0.667 0.333 0.677
Cr 0.333 0.667 0.323
Be 0.000 0.000 0.000
CELL_PARAMETERS angstrom
2.469 0.000 0.000
-1.235 2.138 0.000
0.000 0.000 6.177
! E_form: 0.284 eV per atom
! Calculated total energy: -7.374 eV/atom
! Magnetization: 0.0006 μB/atom
! Space group: No. 164

[15]
! InRe3O12 PBE optimized geometry; values from VASP
&SYSTEM
  ibrav = 0, nat = 32, ntyp = 3
/
ATOMIC_SPECIES
In 114.82 In.upf
Re 186.21 Re.upf
O 16.00 O.upf
ATOMIC_POSITIONS crystal
In 0.087 0.087 0.739
In 0.587 0.587 0.239
Re 0.685 0.309 0.005
Re 0.185 0.501 0.505
Re 0.809 0.185 0.505
Re 0.309 0.001 0.005
Re 0.001 0.685 0.005
Re 0.501 0.809 0.505
O 0.115 0.120 0.108
O 0.193 0.285 0.608
O 0.948 0.006 0.435
O 0.884 0.263 0.868
O 0.384 0.485 0.368
O 0.448 0.112 0.935
O 0.693 0.413 0.108
O 0.006 0.612 0.435
O 0.615 0.157 0.608
O 0.913 0.193 0.608
O 0.763 0.384 0.368
O 0.157 0.620 0.608
O 0.112 0.506 0.935
O 0.657 0.115 0.108
O 0.263 0.985 0.868
O 0.413 0.785 0.108
O 0.785 0.693 0.108
O 0.506 0.448 0.935
O 0.620 0.615 0.608
O 0.985 0.884 0.868
O 0.485 0.763 0.368
O 0.120 0.657 0.108
O 0.285 0.913 0.608
O 0.612 0.948 0.435
CELL_PARAMETERS angstrom
8.121 0.000 3.922
3.114 7.500 3.922
-0.274 -0.183 10.938
! Calculated total energy: -7.804 eV/atom
! Magnetization: 0.0128 μB/atom
! Uncorrected formation energy: -1.58 eV per atom
! Space group: No. 161

[16]
! AcTb2Cu PBE optimized geometry; values from VASP
&SYSTEM
  ibrav = 0, nat = 4, ntyp = 3
/
ATOMIC_SPECIES
Ac 227.00 Ac.upf
Tb 158.93 Tb.upf
Cu 63.55 Cu.upf
ATOMIC_POSITIONS crystal
Ac 0.000 0.000 0.000
Tb 0.110 0.110 0.670
Tb 0.890 0.890 0.330
Cu 0.500 0.500 0.500
CELL_PARAMETERS angstrom
3.697 0.000 0.000
1.848 3.202 0.000
1.848 1.067 10.958
! E_form: 0.205 eV per atom
! Calculated total energy: -4.161 eV/atom
! Magnetization: 0.0000 μB/atom
! Energy above the lowest structure with this stoichiometry: 100.9 kJ/mol of formula units
! Space group: No. 166

[17]
! PPt PBE optimized geometry; values from VASP
&SYSTEM
  ibrav = 0, nat = 2, ntyp = 2
/
ATOMIC_SPECIES
P 30.97 P.upf
Pt 195.08 Pt.upf
ATOMIC_POSITIONS crystal
P 0.000 0.000 0.000
Pt 0.250 0.250 0.250
CELL_PARAMETERS angstrom
0.610 -1.861 3.247
0.601 1.930 3.208
-2.639 0.022 2.722
! E_form: -0.340 eV per atom
! Calculated total energy: -6.065 eV/atom
! Magnetization: 0.0000 μB/atom
! Space group: No. 216

[18]
! Pm3MgAl2 PBE optimized geometry; values from VASP
&SYSTEM
  ibrav = 0, nat = 12, ntyp = 3
/
ATOMIC_SPECIES
Pm 145.00 Pm.upf
Mg 24.30 Mg.upf
Al 26.98 Al.upf
ATOMIC_POSITIONS crystal
Pm 0.333 0.667 0.417
Pm 0.667 0.333 0.078
Pm 0.000 0.000 0.757
Pm 0.000 0.000 0.243
Pm 0.333 0.667 0.922
Pm 0.667 0.333 0.583
Mg 0.333 0.667 0.670
Mg 0.667 0.333 0.330
Al 0.000 0.000 0.500
Al 0.333 0.667 0.174
Al 0.667 0.333 0.826
Al 0.000 0.000 0.000
CELL_PARAMETERS angstrom
5.302 0.000 0.000
-2.651 4.591 0.000
0.000 0.000 12.975
! E_form: -0.300 eV per atom
! Calculated total energy: -4.188 eV/atom
! Magnetization: 0.0000 μB/atom
! Energy above the lowest structure with this stoichiometry: 0.0 kJ/mol of formula units
! Space group: No. 164

[19]
! LiCO PBE optimized geometry; values from VASP
&SYSTEM
  ibrav = 0, nat = 6, ntyp = 3
/
ATOMIC_SPECIES
Li 6.94 Li.upf
C 12.01 C.upf
O 16.00 O.upf
ATOMIC_POSITIONS crystal
Li 0.749 0.444 0.228
Li 0.276 0.084 0.529
C 0.359 0.711 0.893
C 0.025 0.593 0.682
O 0.429 0.884 0.171
O 0.671 0.527 0.809
CELL_PARAMETERS angstrom
3.554 0.000 0.000
-0.573 3.545 0.000
-0.763 -1.370 4.668
! Calculated total energy: -6.030 eV/atom
! Magnetization: 0.0000 μB/atom
! Energy above the lowest structure with this stoichiometry: 127.3 kJ/mol of formula units
! Uncorrected formation energy: -0.66 eV per atom
! Space group: No. 1

[20]
! MgScCd5 PBE optimized geometry; values from VASP
&SYSTEM
  ibrav = 0, nat = 7, ntyp = 3
/
ATOMIC_SPECIES
Mg 24.30 Mg.upf
Sc 44.96 Sc.upf
Cd 112.41 Cd.upf
ATOMIC_POSITIONS crystal
Mg 0.500 0.500 0.500
Sc 0.000 0.000 0.000
Cd 0.500 0.000 0.238
Cd 0.000 0.500 0.238
Cd 0.000 0.000 0.500
Cd 0.000 0.500 0.762
Cd 0.500 0.000 0.762
CELL_PARAMETERS angstrom
5.223 -0.005 0.000
-1.705 4.937 0.000
0.000 0.000 6.487
! E_form: -0.036 eV per atom
! Calculated total energy: -1.822 eV/atom
! Magnetization: 0.0000 μB/atom
! Space group: No. 65

[21]
! SrCr4P PBE optimized geometry; values from VASP
&SYSTEM
  ibrav = 0, nat = 6, ntyp = 3
/
ATOMIC_SPECIES
Sr 87.62 Sr.upf
Cr 52.00 Cr.upf
P 30.97 P.upf
ATOMIC_POSITIONS crystal
Sr 0.000 0.000 0.000
Cr 0.857 0.381 0.381
Cr 0.381 0.381 0.857
Cr 0.381 0.857 0.381
Cr 0.381 0.381 0.381
P 0.750 0.750 0.750
CELL_PARAMETERS angstrom
-5.040 0.277 0.043
-2.549 0.283 -4.348
-2.757 -3.926 -1.569
! E_form: 0.818 eV per atom
! Calculated total energy: -6.780 eV/atom
! Magnetization: 0.0000 μB/atom
! Space group: No. 216

[22]
! HfCdTc PBE optimized geometry; values from VASP
&SYSTEM
  ibrav = 0, nat = 6, ntyp = 3
/
ATOMIC_SPECIES
Tc 98.00 Tc.upf
Cd 112.41 Cd.upf
Hf 178.49 Hf.upf
ATOMIC_POSITIONS crystal
Tc 0.282 0.282 0.155
Tc 0.718 0.718 0.845
Cd 0.136 0.136 0.593
Cd 0.864 0.864 0.407
Hf 0.410 0.410 0.771
Hf 0.590 0.590 0.229
CELL_PARAMETERS angstrom
4.666 0.000 0.000
2.333 4.041 0.000
2.333 1.347 6.589
! E_form: 0.424 eV per atom
! Calculated total energy: -6.654 eV/atom
! Magnetization: 0.0000 μB/atom
! Space group: No. 166

[23]
! Ce4Ge PBE optimized geometry; values from VASP
&SYSTEM
  ibrav = 0, nat = 10, ntyp = 2
/
ATOMIC_SPECIES
Ce 140.12 Ce.upf
Ge 72.64 Ge.upf
ATOMIC_POSITIONS crystal
Ce 0.321 0.240 0.230
Ce 0.821 0.760 0.270
Ce 0.679 0.760 0.770
Ce 0.179 0.240 0.730
Ce 0.801 0.390 0.549
Ce 0.301 0.610 0.951
Ce 0.199 0.610 0.451
Ce 0.699 0.390 0.049
Ge 0.000 0.000 0.000
Ge 0.500 0.000 0.500
CELL_PARAMETERS angstrom
-0.763 -0.284 5.681
-4.767 -3.694 -0.825
5.490 -5.691 0.453
! E_form: -0.083 eV per atom
! Calculated total energy: -5.754 eV/atom
! Magnetization: 0.0011 μB/atom
! Energy above the lowest structure with this stoichiometry: 0.0 kJ/mol of formula units
! Space group: No. 14